Entry from Alexandria: a relaxed Ac6La2Sm5 crystal (PBE).

The structure belongs to space group Pbam (No. 55); the cell edges are 11.539, 23.779 and 3.790 Å and the angles 90.00°, 90.00° and 90.00°. The inequivalent atoms are Ac at (0.024, 0.110, 0.000), Ac at (0.144, 0.385, 0.000), Ac at (0.166, 0.631, 0.500), La at (0.161, 0.771, 0.000), Sm at (0.000, 0.500, 0.500), Sm at (0.090, 0.248, 0.500) and Sm at (0.169, 0.994, 0.500).

For the magnetic moment, the calculation gives 0.00 μB per formula unit. As for the formation energy: 149 meV/atom.